[1]
DFT (GGA-PBE) results for crystalline BaSr3Y at its relaxed geometry.

Cell and atoms, written as CIF:
```
data_BaSr3Y
_cell_length_a 6.2470
_cell_length_b 6.2470
_cell_length_c 6.2470
_cell_angle_alpha 90.00
_cell_angle_beta 90.00
_cell_angle_gamma 90.00
_symmetry_space_group_name_H-M 'P 1'
_symmetry_Int_Tables_number 1
_symmetry_space_group_name_Hall 'P 1'
loop_
_atom_site_label
_atom_site_type_symbol
_atom_site_fract_x
_atom_site_fract_y
_atom_site_fract_z
_atom_site_occupancy
Sr1 Sr 0.5000 0.0000 0.0000 1
Ba1 Ba 0.0000 0.0000 0.0000 1
Sr2 Sr 0.0000 0.5000 0.0000 1
Y1 Y 0.5000 0.5000 0.5000 1
Sr3 Sr 0.0000 0.0000 0.5000 1
```

Output
As for the space group: Pm-3m. Its volume is 243.8 Å³/cell. Its excess energy over the best structure of this formula in the dataset is 0.354 eV per atom.

[2]
DFT (GGA-PBE) results for crystalline Ba2SrY at its relaxed geometry.

Cell and atoms, written as CIF:
```
data_Ba2SrY
_cell_length_a 6.5111
_cell_length_b 3.9733
_cell_length_c 7.7415
_cell_angle_alpha 79.70
_cell_angle_beta 90.00
_cell_angle_gamma 90.00
_symmetry_space_group_name_H-M 'P 1'
_symmetry_Int_Tables_number 1
_symmetry_space_group_name_Hall 'P 1'
loop_
_atom_site_label
_atom_site_type_symbol
_atom_site_fract_x
_atom_site_fract_y
_atom_site_fract_z
_atom_site_occupancy
Y1 Y 0.5000 0.7476 0.7486 1
Sr1 Sr 0.0000 0.5054 0.5127 1
Ba1 Ba 0.0000 0.0089 0.9847 1
Ba2 Ba 0.5000 0.2381 0.2540 1
```

Output
As for the space group: Pm. Its volume is 197.0 Å³/cell. Its excess energy over the best structure of this formula in the dataset is 0.035 eV per atom.

[3]
DFT (GGA-PBE) results for crystalline Ba2SrY at its relaxed geometry.

Cell and atoms, written as CIF:
```
data_Ba2SrY
_cell_length_a 4.0024
_cell_length_b 4.0024
_cell_length_c 13.1065
_cell_angle_alpha 90.00
_cell_angle_beta 90.00
_cell_angle_gamma 108.90
_symmetry_space_group_name_H-M 'P 1'
_symmetry_Int_Tables_number 1
_symmetry_space_group_name_Hall 'P 1'
loop_
_atom_site_label
_atom_site_type_symbol
_atom_site_fract_x
_atom_site_fract_y
_atom_site_fract_z
_atom_site_occupancy
Sr1 Sr 0.0000 0.0000 0.5227 1
Ba1 Ba 0.0000 0.0000 0.9774 1
Ba2 Ba 0.5000 0.5000 0.2540 1
Y1 Y 0.5000 0.5000 0.7459 1
```

Output
As for the space group: Cmm2. Its volume is 198.6 Å³/cell. Its excess energy over the best structure of this formula in the dataset is 0.020 eV per atom.

[4]
DFT (GGA-PBE) results for crystalline BaSr2Y2 at its relaxed geometry.

Cell and atoms, written as CIF:
```
data_BaSr2Y2
_cell_length_a 10.6861
_cell_length_b 10.6861
_cell_length_c 4.0384
_cell_angle_alpha 90.00
_cell_angle_beta 90.00
_cell_angle_gamma 90.00
_symmetry_space_group_name_H-M 'P 1'
_symmetry_Int_Tables_number 1
_symmetry_space_group_name_Hall 'P 1'
loop_
_atom_site_label
_atom_site_type_symbol
_atom_site_fract_x
_atom_site_fract_y
_atom_site_fract_z
_atom_site_occupancy
Y1 Y 0.3883 0.8883 0.0000 1
Sr1 Sr 0.6776 0.8224 0.5000 1
Y2 Y 0.8883 0.6117 0.0000 1
Sr2 Sr 0.8224 0.3224 0.5000 1
Sr3 Sr 0.1776 0.6776 0.5000 1
Y3 Y 0.6117 0.1117 0.0000 1
Ba1 Ba 0.0000 0.0000 0.0000 1
Ba2 Ba 0.5000 0.5000 0.0000 1
Sr4 Sr 0.3224 0.1776 0.5000 1
Y4 Y 0.1117 0.3883 0.0000 1
```

Output
As for the space group: P4/mbm. Its volume is 461.1 Å³/cell. Its excess energy over the best structure of this formula in the dataset is 0.000 eV per atom.

[5]
DFT (GGA-PBE) results for crystalline Ba2SrY at its relaxed geometry.

Cell and atoms, written as CIF:
```
data_Ba2SrY
_cell_length_a 7.7428
_cell_length_b 7.7428
_cell_length_c 7.7428
_cell_angle_alpha 146.01
_cell_angle_beta 129.43
_cell_angle_gamma 62.34
_symmetry_space_group_name_H-M 'P 1'
_symmetry_Int_Tables_number 1
_symmetry_space_group_name_Hall 'P 1'
loop_
_atom_site_label
_atom_site_type_symbol
_atom_site_fract_x
_atom_site_fract_y
_atom_site_fract_z
_atom_site_occupancy
Ba1 Ba 0.4845 0.4845 0.0000 1
Y1 Y 0.2500 0.7500 0.5000 1
Ba2 Ba 0.0155 0.0155 0.0000 1
Sr1 Sr 0.7500 0.2500 0.5000 1
```

Output
As for the space group: Immm. Its volume is 198.3 Å³/cell. Its excess energy over the best structure of this formula in the dataset is 0.034 eV per atom.

[6]
DFT (GGA-PBE) results for crystalline BaSrYb2 at its relaxed geometry.

Cell and atoms, written as CIF:
```
data_BaSrYb2
_cell_length_a 6.4278
_cell_length_b 6.4278
_cell_length_c 6.4278
_cell_angle_alpha 60.00
_cell_angle_beta 60.00
_cell_angle_gamma 60.00
_symmetry_space_group_name_H-M 'P 1'
_symmetry_Int_Tables_number 1
_symmetry_space_group_name_Hall 'P 1'
loop_
_atom_site_label
_atom_site_type_symbol
_atom_site_fract_x
_atom_site_fract_y
_atom_site_fract_z
_atom_site_occupancy
Yb1 Yb 0.7500 0.7500 0.7500 1
Yb2 Yb 0.2500 0.2500 0.2500 1
Ba1 Ba 0.5000 0.5000 0.5000 1
Sr1 Sr 0.0000 0.0000 0.0000 1
```

Output
As for the space group: Fm-3m. Its volume is 187.8 Å³/cell. As for the calculated total energy: -1.664 eV/atom.

[7]
DFT (GGA-PBE) results for crystalline BaSr2Zn3 at its relaxed geometry.

Cell and atoms, written as CIF:
```
data_BaSr2Zn3
_cell_length_a 3.9837
_cell_length_b 3.9837
_cell_length_c 11.8631
_cell_angle_alpha 90.00
_cell_angle_beta 90.00
_cell_angle_gamma 90.00
_symmetry_space_group_name_H-M 'P 1'
_symmetry_Int_Tables_number 1
_symmetry_space_group_name_Hall 'P 1'
loop_
_atom_site_label
_atom_site_type_symbol
_atom_site_fract_x
_atom_site_fract_y
_atom_site_fract_z
_atom_site_occupancy
Sr1 Sr 0.5000 0.5000 0.1611 1
Zn1 Zn 0.0000 0.0000 0.3204 1
Zn2 Zn 0.0000 0.0000 0.0000 1
Sr2 Sr 0.5000 0.5000 0.8389 1
Zn3 Zn 0.0000 0.0000 0.6796 1
Ba1 Ba 0.5000 0.5000 0.5000 1
```

Output
As for the space group: P4/mmm. Its volume is 188.3 Å³/cell. As for the calculated total energy: -1.690 eV/atom.

[8]
DFT (GGA-PBE) results for crystalline Ba2SrZn at its relaxed geometry.

Cell and atoms, written as CIF:
```
data_Ba2SrZn
_cell_length_a 4.4253
_cell_length_b 4.4253
_cell_length_c 12.2485
_cell_angle_alpha 79.59
_cell_angle_beta 79.59
_cell_angle_gamma 60.00
_symmetry_space_group_name_H-M 'P 1'
_symmetry_Int_Tables_number 1
_symmetry_space_group_name_Hall 'P 1'
loop_
_atom_site_label
_atom_site_type_symbol
_atom_site_fract_x
_atom_site_fract_y
_atom_site_fract_z
_atom_site_occupancy
Ba1 Ba 0.2696 0.2696 0.1911 1
Ba2 Ba 0.0633 0.0633 0.8100 1
Sr1 Sr 0.5003 0.5003 0.4992 1
Zn1 Zn 0.6668 0.6668 0.9997 1
```

Output
As for the space group: R3m. Its volume is 203.2 Å³/cell. As for the calculated total energy: -1.682 eV/atom.

[9]
DFT (GGA-PBE) results for crystalline Ba2SrZn2 at its relaxed geometry.

Cell and atoms, written as CIF:
```
data_Ba2SrZn2
_cell_length_a 4.5362
_cell_length_b 4.9729
_cell_length_c 9.2036
_cell_angle_alpha 105.67
_cell_angle_beta 90.00
_cell_angle_gamma 90.00
_symmetry_space_group_name_H-M 'P 1'
_symmetry_Int_Tables_number 1
_symmetry_space_group_name_Hall 'P 1'
loop_
_atom_site_label
_atom_site_type_symbol
_atom_site_fract_x
_atom_site_fract_y
_atom_site_fract_z
_atom_site_occupancy
Sr1 Sr 0.0000 0.0000 0.0000 1
Ba1 Ba 0.5000 0.3524 0.7048 1
Ba2 Ba 0.5000 0.6476 0.2952 1
Zn1 Zn 0.0000 0.7933 0.5866 1
Zn2 Zn 0.0000 0.2067 0.4134 1
```

Output
As for the space group: Cmmm. Its volume is 199.9 Å³/cell. Its excess energy over the best structure of this formula in the dataset is 0.000 eV per atom.

[10]
DFT (GGA-PBE) results for crystalline Ba2SrZn2 at its relaxed geometry.

Cell and atoms, written as CIF:
```
data_Ba2SrZn2
_cell_length_a 4.1761
_cell_length_b 4.1761
_cell_length_c 12.5947
_cell_angle_alpha 80.46
_cell_angle_beta 80.46
_cell_angle_gamma 90.00
_symmetry_space_group_name_H-M 'P 1'
_symmetry_Int_Tables_number 1
_symmetry_space_group_name_Hall 'P 1'
loop_
_atom_site_label
_atom_site_type_symbol
_atom_site_fract_x
_atom_site_fract_y
_atom_site_fract_z
_atom_site_occupancy
Zn1 Zn 0.7500 0.2500 0.5000 1
Ba1 Ba 0.6395 0.6395 0.7210 1
Zn2 Zn 0.2500 0.7500 0.5000 1
Sr1 Sr 0.0000 0.0000 0.0000 1
Ba2 Ba 0.3605 0.3605 0.2790 1
```

Output
As for the space group: I4/mmm. Its volume is 213.5 Å³/cell. Its excess energy over the best structure of this formula in the dataset is 0.157 eV per atom.

[11]
DFT (GGA-PBE) results for crystalline BaSr3Zn4 at its relaxed geometry.

Cell and atoms, written as CIF:
```
data_BaSr3Zn4
_cell_length_a 5.6098
_cell_length_b 7.9001
_cell_length_c 11.2244
_cell_angle_alpha 90.00
_cell_angle_beta 90.00
_cell_angle_gamma 90.00
_symmetry_space_group_name_H-M 'P 1'
_symmetry_Int_Tables_number 1
_symmetry_space_group_name_Hall 'P 1'
loop_
_atom_site_label
_atom_site_type_symbol
_atom_site_fract_x
_atom_site_fract_y
_atom_site_fract_z
_atom_site_occupancy
Sr1 Sr 0.4999 0.5000 0.7500 1
Sr2 Sr 0.0000 0.0000 0.0000 1
Zn1 Zn 0.5000 0.2400 0.5000 1
Ba1 Ba 0.0000 0.5000 0.5000 1
Zn2 Zn 0.0004 0.2401 0.2500 1
Zn3 Zn 0.0004 0.7599 0.2500 1
Ba2 Ba 0.0000 0.5000 0.0000 1
Sr3 Sr 0.5001 0.5000 0.2500 1
Sr4 Sr 0.0000 0.0000 0.5000 1
Zn4 Zn 0.5000 0.7600 0.5000 1
Zn5 Zn 0.5000 0.2400 0.0000 1
Zn6 Zn 0.5000 0.7600 0.0000 1
Zn7 Zn 0.9996 0.2401 0.7500 1
Sr5 Sr 0.4996 0.0000 0.7500 1
Sr6 Sr 0.5004 0.0000 0.2500 1
Zn8 Zn 0.9996 0.7599 0.7500 1
```

Output
As for the space group: P4/mmm. Its volume is 497.4 Å³/cell. As for the calculated total energy: -1.678 eV/atom.

[12]
DFT (GGA-PBE) results for crystalline Ba2SrZn at its relaxed geometry.

Cell and atoms, written as CIF:
```
data_Ba2SrZn
_cell_length_a 12.2889
_cell_length_b 12.2889
_cell_length_c 12.2889
_cell_angle_alpha 20.65
_cell_angle_beta 20.65
_cell_angle_gamma 20.65
_symmetry_space_group_name_H-M 'P 1'
_symmetry_Int_Tables_number 1
_symmetry_space_group_name_Hall 'P 1'
loop_
_atom_site_label
_atom_site_type_symbol
_atom_site_fract_x
_atom_site_fract_y
_atom_site_fract_z
_atom_site_occupancy
Zn1 Zn 0.7500 0.7500 0.7500 1
Ba1 Ba 0.0196 0.0196 0.0196 1
Ba2 Ba 0.4804 0.4804 0.4804 1
Sr1 Sr 0.2500 0.2500 0.2500 1
```

Output
As for the space group: R-3m. Its volume is 202.0 Å³/cell. As for the calculated total energy: -1.685 eV/atom.

[13]
DFT (GGA-PBE) results for crystalline Ba2SrZn6 at its relaxed geometry.

Cell and atoms, written as CIF:
```
data_Ba2SrZn6
_cell_length_a 8.1400
_cell_length_b 8.1400
_cell_length_c 4.3483
_cell_angle_alpha 89.99
_cell_angle_beta 89.99
_cell_angle_gamma 60.01
_symmetry_space_group_name_H-M 'P 1'
_symmetry_Int_Tables_number 1
_symmetry_space_group_name_Hall 'P 1'
loop_
_atom_site_label
_atom_site_type_symbol
_atom_site_fract_x
_atom_site_fract_y
_atom_site_fract_z
_atom_site_occupancy
Zn1 Zn 0.9999 0.6722 0.4997 1
Ba1 Ba 0.6666 0.6666 0.0000 1
Zn2 Zn 0.6722 0.9999 0.4997 1
Zn3 Zn 0.6724 0.3276 0.5000 1
Zn4 Zn 0.3278 0.0001 0.5003 1
Zn5 Zn 0.3276 0.6724 0.5000 1
Ba2 Ba 0.3334 0.3334 0.0000 1
Zn6 Zn 0.0001 0.3278 0.5003 1
Sr1 Sr 0.0000 0.0000 0.0000 1
```

Output
As for the space group: P6/mmm. Its volume is 249.6 Å³/cell. As for the calculated total energy: -1.663 eV/atom.

[14]
DFT (GGA-PBE) results for crystalline BaSr2Zn2 at its relaxed geometry.

Cell and atoms, written as CIF:
```
data_BaSr2Zn2
_cell_length_a 8.4981
_cell_length_b 8.4981
_cell_length_c 5.1219
_cell_angle_alpha 90.00
_cell_angle_beta 90.00
_cell_angle_gamma 90.00
_symmetry_space_group_name_H-M 'P 1'
_symmetry_Int_Tables_number 1
_symmetry_space_group_name_Hall 'P 1'
loop_
_atom_site_label
_atom_site_type_symbol
_atom_site_fract_x
_atom_site_fract_y
_atom_site_fract_z
_atom_site_occupancy
Zn1 Zn 0.1094 0.3906 0.0000 1
Sr1 Sr 0.3328 0.1672 0.5000 1
Sr2 Sr 0.8328 0.3328 0.5000 1
Zn2 Zn 0.6094 0.1094 0.0000 1
Zn3 Zn 0.8906 0.6094 0.0000 1
Sr3 Sr 0.6672 0.8328 0.5000 1
Ba1 Ba 0.5000 0.5000 0.0000 1
Zn4 Zn 0.3906 0.8906 0.0000 1
Sr4 Sr 0.1672 0.6672 0.5000 1
Ba2 Ba 0.0000 0.0000 0.0000 1
```

Output
As for the space group: P4/mbm. Its volume is 369.9 Å³/cell. Its excess energy over the best structure of this formula in the dataset is 0.000 eV per atom.